Be2CdI | PBE | relaxed

Results
crystal system = tetragonal
ΔE_f (raw) = 740 meV/atom
polymorph energy (0 for the lowest one) = 0.0 kJ per mole of atoms
symmetry = I-42d, No. 122
total DFT energy (no corrections) = -1.740 eV per atom

Cell lengths 6.083, 6.083, 6.632 Å; angles 62.70, 62.70, 90.00 degrees
Fractional positions:
1 I 0.000 0.000 0.000
2 I 0.750 0.250 0.500
3 Be 0.613 0.125 0.250
4 Be 0.137 0.625 0.250
5 Be 0.375 0.387 0.750
6 Be 0.875 0.863 0.750
7 Cd 0.500 0.500 0.000
8 Cd 0.250 0.750 0.500